# 1
The following is a DFT calculation (PBE) of crystalline CuBr at its relaxed geometry.

Total magnetization = 0.00 μB/atom
Fermi-level density of states = 1.62 states/eV/cell
Crystal system = trigonal
Electronic total energy = -17.64 eV per cell
Theoretical density = 6.1 g/cm³

CIF file:
```
data_CuBr
_cell_length_a 3.8172
_cell_length_b 3.8172
_cell_length_c 9.3198
_cell_angle_alpha 90.00
_cell_angle_beta 90.00
_cell_angle_gamma 120.00
_symmetry_space_group_name_H-M 'R -3 m'
_symmetry_Int_Tables_number 166
_symmetry_space_group_name_Hall '-R 3 2"'
loop_
_atom_site_label
_atom_site_type_symbol
_atom_site_fract_x
_atom_site_fract_y
_atom_site_fract_z
_atom_site_occupancy
Cu1 Cu 0.0000 0.0000 0.0000 1
Br1 Br 0.0000 0.0000 0.5000 1
```


# 2
The following is a DFT calculation (PBE) of crystalline ReNiPt at its relaxed geometry.

Total magnetization = 0.00 μB/atom
Fermi-level density of states = 6.24 states/eV/cell
Crystal system = tetragonal
Calculated formation energy = -0.05 eV per atom
Theoretical density = 17.6 g/cm³

CIF file:
```
data_ReNiPt
_cell_length_a 2.740
_cell_length_b 2.740
_cell_length_c 11.075
_cell_angle_alpha 90.00
_cell_angle_beta 90.00
_cell_angle_gamma 90.00
_symmetry_space_group_name_H-M 'I 4 m m'
_symmetry_Int_Tables_number 107
_symmetry_space_group_name_Hall 'I 4 -2'
loop_
_atom_site_label
_atom_site_type_symbol
_atom_site_fract_x
_atom_site_fract_y
_atom_site_fract_z
_atom_site_occupancy
Re1 Re 0.000 0.000 0.000 1
Ni1 Ni 0.000 0.000 0.351 1
Pt1 Pt 0.000 0.000 0.677 1
```


# 3
The following is a DFT calculation (PBE) of crystalline MgBe2Au7 at its relaxed geometry.

Total magnetization = 0.00 μB/atom
Fermi-level density of states = 6.20 states/eV/cell
Crystal system = tetragonal
Calculated formation energy = -0.23 eV per atom
Theoretical density = 14.1 g/cm³

CIF file:
```
data_MgBe2Au7
_cell_length_a 4.117
_cell_length_b 4.117
_cell_length_c 19.732
_cell_angle_alpha 90.00
_cell_angle_beta 90.00
_cell_angle_gamma 90.00
_symmetry_space_group_name_H-M 'I 4/m m m'
_symmetry_Int_Tables_number 139
_symmetry_space_group_name_Hall '-I 4 2'
loop_
_atom_site_label
_atom_site_type_symbol
_atom_site_fract_x
_atom_site_fract_y
_atom_site_fract_z
_atom_site_occupancy
Mg1 Mg 0.000 0.000 0.000 1
Be1 Be 0.000 0.000 0.323 1
Au1 Au 0.000 0.000 0.500 1
Au2 Au 0.000 0.500 0.106 1
Au3 Au 0.000 0.500 0.250 1
```


# 4
The following is a DFT calculation (PBE) of crystalline LiCaCuPt at its relaxed geometry.

Total magnetization = 0.00 μB/atom
Fermi-level density of states = 8.60 states/eV/cell
Crystal system = cubic
Calculated formation energy = -0.40 eV per atom
Theoretical density = 7.5 g/cm³

CIF file:
```
data_LiCaCuPt
_cell_length_a 6.465
_cell_length_b 6.465
_cell_length_c 6.465
_cell_angle_alpha 90.00
_cell_angle_beta 90.00
_cell_angle_gamma 90.00
_symmetry_space_group_name_H-M 'F -4 3 m'
_symmetry_Int_Tables_number 216
_symmetry_space_group_name_Hall 'F -4 2 3'
loop_
_atom_site_label
_atom_site_type_symbol
_atom_site_fract_x
_atom_site_fract_y
_atom_site_fract_z
_atom_site_occupancy
Li1 Li 0.000 0.000 0.000 1
Ca1 Ca 0.250 0.250 0.750 1
Cu1 Cu 0.000 0.000 0.500 1
Pt1 Pt 0.250 0.250 0.250 1
```